Crystalline In5Ni at its relaxed geometry, computed with GGA-PBE.

a b c (Å): 6.6664 6.6664 3.9527
angles (deg): 90.00 90.00 120.00
Last column: nearest neighbours and their distance in Å.
Sites, in units of the cell vectors:
In 0.0000 0.7230 0.0000  2 Ni 2.70
In 0.2770 0.2770 0.0000  2 Ni 2.70
In 0.3333 0.6667 0.5000  6 In 3.13
In 0.6667 0.3333 0.5000  6 In 3.13
In 0.7230 0.0000 0.0000  2 Ni 2.70
Ni 0.0000 0.0000 0.5000  6 In 2.70

Output
ΔE_f, eV/atom: 0.140
Total magnetization, μB per cell: 0.00